1.
Entry from Alexandria: a geometry-optimized SmTlInTe3 structure (PBE).

Cell and atoms, written as POSCAR:
```
SmTlInTe3
1.0
9.317 0.000 0.000
0.000 4.621 0.000
-3.678 0.000 10.263
Sm Tl In Te
2 2 2 6
Cartesian
1.177 1.155 1.412 Sm
4.463 3.465 8.852 Sm
-0.144 3.465 7.938 Tl
5.783 1.155 2.325 Tl
2.342 3.465 3.836 In
3.298 1.155 6.427 In
-2.745 1.155 8.590 Te
0.775 1.155 4.866 Te
3.425 3.465 1.074 Te
2.214 1.155 9.189 Te
4.865 3.465 5.397 Te
8.384 3.465 1.673 Te
```

Values from the calculation:
Energy (eV per atom): -3.902
Magnetization (μB/atom): 0.000
DOS(E_F) (states/eV per cell): 3.99
Formation energy from raw total energies (eV/atom): -0.694



2.
Entry from Alexandria: a geometry-optimized SmTl2InTe4 structure (PBE).

Cell and atoms, written as POSCAR:
```
SmTl2InTe4
1.0
-4.585 4.596 6.606
4.585 -4.596 6.606
4.585 4.596 -6.606
Sm Tl In Te
2 4 2 8
Cartesian
-2.293 2.298 3.303 Sm
2.293 2.298 3.303 Sm
0.000 0.000 0.000 Tl
2.293 2.298 -3.303 Tl
2.293 -2.298 3.303 Tl
0.000 4.596 0.000 Tl
4.585 0.000 0.000 In
0.000 0.000 6.606 In
4.585 0.156 3.154 Te
2.524 2.298 0.110 Te
6.646 2.298 0.110 Te
0.000 0.156 3.452 Te
4.585 4.440 3.154 Te
-2.061 2.298 6.496 Te
2.061 2.298 6.496 Te
0.000 4.440 3.452 Te
```

Values from the calculation:
Energy (eV per atom): -3.732
Magnetization (μB/atom): 0.000
DOS(E_F) (states/eV per cell): 4.40
Formation energy from raw total energies (eV/atom): -0.638



3.
Entry from Alexandria: a geometry-optimized Sm2TmIn3Te6 structure (PBE).

Cell and atoms, written as POSCAR:
```
Sm2TmIn3Te6
1.0
3.851 -6.669 0.000
3.851 6.669 0.000
-2.567 0.000 8.112
Sm Tm In Te
2 1 3 6
Cartesian
3.851 4.451 0.000 Sm
3.851 -4.451 0.000 Sm
3.851 0.000 0.000 Tm
-1.283 0.000 4.056 In
2.568 2.254 4.056 In
2.568 -2.254 4.056 In
0.030 2.172 6.325 Te
1.344 0.000 1.807 Te
0.030 -2.172 6.325 Te
5.105 2.172 1.787 Te
3.791 0.000 6.305 Te
5.105 -2.172 1.787 Te
```

Values from the calculation:
Energy (eV per atom): -4.386
Magnetization (μB/atom): 0.000
DOS(E_F) (states/eV per cell): 1.22
Formation energy from raw total energies (eV/atom): -0.971



4.
Entry from Alexandria: a geometry-optimized SmTmIn2Te4 structure (PBE).

Cell and atoms, written as POSCAR:
```
SmTmIn2Te4
1.0
7.672 0.000 0.000
0.000 4.426 0.000
-2.552 0.000 8.107
Sm Tm In Te
1 1 2 4
Cartesian
0.000 0.000 0.000 Sm
3.836 2.213 0.000 Tm
-1.276 2.213 4.054 In
2.560 0.000 4.054 In
1.334 2.213 1.801 Te
0.059 0.000 6.342 Te
5.061 0.000 1.765 Te
3.785 2.213 6.306 Te
```

Values from the calculation:
Energy (eV per atom): -4.367
Magnetization (μB/atom): 0.000
DOS(E_F) (states/eV per cell): 0.30
Formation energy from raw total energies (eV/atom): -0.963



5.
Entry from Alexandria: a geometry-optimized SmTm3In3Te8 structure (PBE).

Cell and atoms, written as POSCAR:
```
SmTm3In3Te8
1.0
4.369 2.522 7.863
-4.369 2.522 7.863
0.000 -5.045 7.863
Sm Tm In Te
1 3 3 8
Cartesian
0.000 0.000 0.000 Sm
-2.184 -1.261 7.863 Tm
-2.184 1.261 15.725 Tm
0.000 2.522 7.863 Tm
-4.369 0.000 11.794 In
-2.184 1.261 3.931 In
2.184 1.261 3.931 In
0.000 -2.448 9.638 Te
-2.120 1.224 9.638 Te
0.000 0.000 6.112 Te
-2.120 -1.224 13.950 Te
2.120 1.224 9.638 Te
0.000 0.000 17.475 Te
2.120 -1.224 13.950 Te
0.000 2.448 13.950 Te
```

Values from the calculation:
Energy (eV per atom): -4.418
Magnetization (μB/atom): 0.000
DOS(E_F) (states/eV per cell): 5.48
Formation energy from raw total energies (eV/atom): -0.986



6.
Entry from Alexandria: a geometry-optimized Sm3TmIn3Te8 structure (PBE).

Cell and atoms, written as POSCAR:
```
Sm3TmIn3Te8
1.0
7.675 -4.432 0.000
7.675 4.432 0.000
-5.116 0.000 7.902
Sm Tm In Te
3 1 3 8
Cartesian
0.000 0.000 0.000 Sm
3.838 2.216 0.000 Sm
3.838 -2.216 0.000 Sm
7.675 0.000 0.000 Tm
1.279 2.216 3.951 In
1.279 -2.216 3.951 In
5.117 0.000 3.951 In
2.562 0.000 1.834 Te
6.428 2.171 1.781 Te
0.055 0.000 6.113 Te
3.806 2.171 6.121 Te
6.428 -2.171 1.781 Te
10.179 0.000 1.790 Te
3.806 -2.171 6.121 Te
7.672 0.000 6.068 Te
```

Values from the calculation:
Energy (eV per atom): -4.480
Magnetization (μB/atom): 0.000
DOS(E_F) (states/eV per cell): 5.71
Formation energy from raw total energies (eV/atom): -1.015



7.
Entry from Alexandria: a geometry-optimized SmTm2In3Te6 structure (PBE).

Cell and atoms, written as POSCAR:
```
SmTm2In3Te6
1.0
3.820 -6.616 0.000
3.820 6.616 0.000
-2.548 0.000 8.113
Sm Tm In Te
1 2 3 6
Cartesian
0.000 0.000 0.000 Sm
3.820 2.210 0.000 Tm
3.820 -2.210 0.000 Tm
2.546 4.443 4.056 In
2.546 0.000 4.056 In
2.546 -4.443 4.056 In
1.304 2.256 1.777 Te
0.060 0.000 6.355 Te
1.304 -2.256 1.777 Te
3.789 2.256 6.335 Te
5.033 0.000 1.757 Te
3.789 -2.256 6.335 Te
```

Values from the calculation:
Energy (eV per atom): -4.350
Magnetization (μB/atom): 0.000
DOS(E_F) (states/eV per cell): 1.02
Formation energy from raw total energies (eV/atom): -0.956



8.
Entry from Alexandria: a geometry-optimized Sm3UIn3Te8 structure (PBE).

Cell and atoms, written as POSCAR:
```
Sm3UIn3Te8
1.0
4.441 2.564 8.155
-4.441 2.564 8.155
0.000 -5.127 8.155
Sm U In Te
3 1 3 8
Cartesian
-2.220 -1.282 8.155 Sm
-2.220 1.282 16.310 Sm
0.000 2.564 8.155 Sm
0.000 0.000 0.000 U
-4.441 0.000 12.233 In
-2.220 1.282 4.078 In
2.220 1.282 4.078 In
0.000 -2.619 9.949 Te
-2.268 1.310 9.949 Te
-2.268 -1.310 14.516 Te
0.000 0.000 6.321 Te
0.000 0.000 18.144 Te
2.268 1.310 9.949 Te
2.268 -1.310 14.516 Te
0.000 2.619 14.516 Te
```

Values from the calculation:
Energy (eV per atom): -4.827
Magnetization (μB/atom): 0.135
DOS(E_F) (states/eV per cell): 5.55
Formation energy from raw total energies (eV/atom): -0.907



Question: Among the records above, which one has the highest magnetization?
Answer: Sm3UIn3Te8



Question: Among the records above, which one has the highest magnetization?
Answer: Sm3UIn3Te8